[1]
DFT (PBE-GGA) results for an optimized crystal structure of K3CoCl8.

## Properties
* N(E_F): 5.290 states/eV/f.u.
* space-group type: I4/mmm

Unit cell a=7.727 b=7.727 c=7.808 alpha=119.65 beta=119.65 gamma=90.00
Fractional positions:
K1 0.750 0.250 0.500
K2 0.500 0.500 0.000
K3 0.250 0.750 0.500
Co1 0.000 0.000 0.000
Cl1 0.341 0.341 0.245
Cl2 0.341 0.904 0.245
Cl3 0.096 0.659 0.755
Cl4 0.096 0.096 0.755
Cl5 0.904 0.904 0.245
Cl6 0.904 0.341 0.245
Cl7 0.659 0.096 0.755
Cl8 0.659 0.659 0.755



[2]
DFT (PBE-GGA) results for an optimized crystal structure of K2CoCl4.

## Properties
* space-group type: Pna2_1

Unit cell a=7.356 b=12.517 c=27.300 alpha=90.00 beta=90.00 gamma=90.00
Fractional positions:
K1 0.220 0.924 0.047
K2 0.720 0.076 0.953
K3 0.220 0.576 0.547
K4 0.720 0.424 0.453
K5 0.227 0.920 0.382
K6 0.727 0.080 0.618
K7 0.227 0.580 0.882
K8 0.727 0.420 0.118
K9 0.279 0.922 0.712
K10 0.779 0.078 0.288
K11 0.279 0.578 0.212
K12 0.779 0.422 0.788
K13 0.203 0.313 0.001
K14 0.703 0.687 0.999
K15 0.203 0.187 0.501
K16 0.703 0.813 0.499
K17 0.279 0.312 0.333
K18 0.779 0.688 0.667
K19 0.279 0.188 0.833
K20 0.779 0.812 0.167
K21 0.268 0.319 0.669
K22 0.768 0.681 0.331
K23 0.268 0.181 0.169
K24 0.768 0.819 0.831
Co1 0.245 0.585 0.073
Co2 0.745 0.415 0.927
Co3 0.245 0.915 0.573
Co4 0.745 0.085 0.427
Co5 0.220 0.586 0.405
Co6 0.720 0.414 0.595
Co7 0.220 0.914 0.905
Co8 0.720 0.086 0.095
Co9 0.265 0.587 0.743
Co10 0.765 0.413 0.257
Co11 0.265 0.913 0.243
Co12 0.765 0.087 0.757
Cl1 0.325 0.556 0.995
Cl2 0.825 0.444 0.005
Cl3 0.325 0.944 0.495
Cl4 0.825 0.056 0.505
Cl5 0.184 0.558 0.325
Cl6 0.684 0.442 0.675
Cl7 0.184 0.942 0.825
Cl8 0.684 0.058 0.175
Cl9 0.188 0.569 0.664
Cl10 0.688 0.431 0.336
Cl11 0.188 0.931 0.164
Cl12 0.688 0.069 0.836
Cl13 0.166 0.433 0.113
Cl14 0.666 0.567 0.887
Cl15 0.166 0.067 0.613
Cl16 0.666 0.933 0.387
Cl17 0.166 0.432 0.447
Cl18 0.666 0.568 0.553
Cl19 0.166 0.068 0.947
Cl20 0.666 0.932 0.053
Cl21 0.341 0.431 0.781
Cl22 0.841 0.569 0.219
Cl23 0.341 0.069 0.281
Cl24 0.841 0.931 0.719
Cl25 0.022 0.708 0.079
Cl26 0.522 0.292 0.921
Cl27 0.022 0.792 0.579
Cl28 0.522 0.208 0.421
Cl29 0.016 0.710 0.429
Cl30 0.516 0.290 0.571
Cl31 0.016 0.790 0.929
Cl32 0.516 0.210 0.071
Cl33 0.004 0.638 0.781
Cl34 0.504 0.362 0.219
Cl35 0.004 0.862 0.281
Cl36 0.504 0.138 0.719
Cl37 0.502 0.643 0.111
Cl38 0.002 0.357 0.889
Cl39 0.502 0.857 0.611
Cl40 0.002 0.143 0.389
Cl41 0.500 0.643 0.426
Cl42 0.000 0.357 0.574
Cl43 0.500 0.857 0.926
Cl44 0.000 0.143 0.074
Cl45 0.483 0.711 0.753
Cl46 0.983 0.289 0.247
Cl47 0.483 0.789 0.253
Cl48 0.983 0.211 0.747



[3]
DFT (PBE-GGA) results for an optimized crystal structure of KCo2Cl.

## Properties
* N(E_F): 6.311 states/eV/f.u.
* relative energy among the computed polymorphs: 0.7472 eV per atom
* space-group type: Cmmm

Unit cell a=6.891 b=6.891 c=2.703 alpha=90.00 beta=90.00 gamma=134.98
Fractional positions:
K1 0.500 0.000 0.500
Co1 0.000 0.000 0.000
Co2 0.500 0.500 0.000
Cl1 0.000 0.500 0.500



[4]
DFT (PBE-GGA) results for an optimized crystal structure of K2CoCl5.

## Properties
* N(E_F): 6.475 states/eV/f.u.
* space-group type: I4mm

Unit cell a=6.776 b=6.776 c=6.776 alpha=97.44 beta=115.80 gamma=115.80
Fractional positions:
K1 0.500 0.241 0.741
K2 0.500 0.741 0.241
Co1 0.000 0.025 0.025
Cl1 0.565 0.768 0.768
Cl2 0.000 0.768 0.202
Cl3 0.000 0.202 0.768
Cl4 0.435 0.202 0.202
Cl5 0.000 0.276 0.276



Going through the records in order, we get ΔE_f (raw) values of -0.874, -1.390, 0.798, -1.235 eV per atom.